No. 1
First-principles (GGA-PBE) data for crystalline Ga3Pd at its relaxed geometry, as listed in Alexandria via LeMat-Bulk.

CIF file:
```
data_Ga3Pd
_cell_length_a 3.3864
_cell_length_b 4.9668
_cell_length_c 8.5895
_cell_angle_alpha 90.00
_cell_angle_beta 90.00
_cell_angle_gamma 109.93
_space_group_name_H-M_alt 'P 1'
_space_group_IT_number 1
_space_group_name_Hall 'P 1'
loop_
_atom_site_label
_atom_site_type_symbol
_atom_site_fract_x
_atom_site_fract_y
_atom_site_fract_z
Ga1 Ga 0.1344 0.2688 0.5342
Ga2 Ga 0.1344 0.2688 0.9658
Pd1 Pd 0.2759 0.5519 0.2500
Ga3 Ga 0.8656 0.7312 0.0342
Ga4 Ga 0.4439 0.8879 0.7500
Pd2 Pd 0.7241 0.4481 0.7500
Ga5 Ga 0.8656 0.7312 0.4658
Ga6 Ga 0.5561 0.1121 0.2500
```

Computed properties:
As for the symmetry: Cmcm (63). The total energy is -31.3 eV per cell.

---

No. 2
First-principles (GGA-PBE) data for crystalline LiTbPb at its relaxed geometry, as listed in Alexandria via LeMat-Bulk.

CIF file:
```
data_LiTbPb
_cell_length_a 4.8182
_cell_length_b 4.8169
_cell_length_c 9.3070
_cell_angle_alpha 75.70
_cell_angle_beta 75.59
_cell_angle_gamma 60.06
_space_group_name_H-M_alt 'P 1'
_space_group_IT_number 1
_space_group_name_Hall 'P 1'
loop_
_atom_site_label
_atom_site_type_symbol
_atom_site_fract_x
_atom_site_fract_y
_atom_site_fract_z
Li1 Li 0.7047 0.9902 0.0048
Li2 Li 0.2164 0.5054 0.4777
Pb1 Pb 0.5746 0.8633 0.4029
Tb1 Tb 0.9605 0.2479 0.2410
Tb2 Tb 0.4599 0.7483 0.7409
Pb2 Pb 0.3466 0.6325 0.0790
```

Computed properties:
As for the symmetry: P-1 (2). The total energy is -21.0 eV per cell.

---

No. 3
First-principles (GGA-PBE) data for crystalline Ac2SmCu6 at its relaxed geometry, as listed in Alexandria via LeMat-Bulk.

CIF file:
```
data_Ac2SmCu6
_cell_length_a 3.9490
_cell_length_b 7.5439
_cell_length_c 7.5439
_cell_angle_alpha 120.00
_cell_angle_beta 90.00
_cell_angle_gamma 90.00
_space_group_name_H-M_alt 'P 1'
_space_group_IT_number 1
_space_group_name_Hall 'P 1'
loop_
_atom_site_label
_atom_site_type_symbol
_atom_site_fract_x
_atom_site_fract_y
_atom_site_fract_z
Cu1 Cu 0.5000 0.6711 0.0000
Ac1 Ac 0.0000 0.6667 0.3333
Cu2 Cu 0.5000 0.3289 0.3289
Cu3 Cu 0.5000 0.3289 0.0000
Cu4 Cu 0.5000 0.0000 0.6711
Cu5 Cu 0.5000 0.0000 0.3289
Ac2 Ac 0.0000 0.3333 0.6667
Cu6 Cu 0.5000 0.6711 0.6711
Sm1 Sm 0.0000 0.0000 0.0000
```

Computed properties:
As for the symmetry: P6/mmm (191). The total energy is -39.3 eV per cell.

---

no.,formation enthalpy at 0 K (eV per formula unit)
1,-1.40
2,-0.25
3,-1.79